No. 1
! U2MnTc PBE-GGA optimized geometry; values from VASP
! - Total moment: 1.99 μB/f.u.
! - N(E_F): 2.028 states/eV/atom
! - Space-group type: No. 225
! - Mass density: 14.2 g/cm³
! - Formation energy: 74 kJ/mol of formula units
! - Energy above the lowest structure with this stoichiometry: 0.25 eV/f.u.
! - Energy: -41.3 eV for the cell shown
&SYSTEM
  ibrav = 0, nat = 4, ntyp = 3
/
ATOMIC_SPECIES
U 238.03 U.upf
Mn 54.94 Mn.upf
Tc 98.00 Tc.upf
ATOMIC_POSITIONS crystal
U 0.2500 0.2500 0.2500
U 0.7500 0.7500 0.7500
Mn 0.0000 0.0000 0.0000
Tc 0.5000 0.5000 0.5000
CELL_PARAMETERS angstrom
0.0000 3.3276 3.3276
3.3276 0.0000 3.3276
3.3276 3.3276 0.0000

---

No. 2
! Mn2TcP PBE-GGA optimized geometry; values from VASP
! - Total moment: 5.09 μB/f.u.
! - N(E_F): 0.810 states/eV/atom
! - Space-group type: No. 123
! - Mass density: 7.9 g/cm³
! - Formation energy: -42 kJ/mol of formula units
! - Energy above the lowest structure with this stoichiometry: 0.59 eV/f.u.
! - Energy: -34.6 eV for the cell shown
&SYSTEM
  ibrav = 0, nat = 4, ntyp = 3
/
ATOMIC_SPECIES
Mn 54.94 Mn.upf
Tc 98.00 Tc.upf
P 30.97 P.upf
ATOMIC_POSITIONS crystal
Mn 0.0000 0.5000 0.0000
Mn 0.5000 0.0000 0.0000
Tc 0.0000 0.0000 0.5000
P 0.5000 0.5000 0.5000
CELL_PARAMETERS angstrom
3.6053 0.0000 0.0000
0.0000 3.6053 0.0000
0.0000 0.0000 3.8494

---

No. 3
! BaAgOs2 PBE-GGA optimized geometry; values from VASP
! - Total moment: 0.00 μB/f.u.
! - N(E_F): 1.160 states/eV/atom
! - Space-group type: No. 65
! - Mass density: 13.4 g/cm³
! - Formation energy: 539 kJ/mol of formula units
! - Energy above the lowest structure with this stoichiometry: 4.17 eV/f.u.
! - Energy: -21.6 eV for the cell shown
&SYSTEM
  ibrav = 0, nat = 4, ntyp = 3
/
ATOMIC_SPECIES
Ba 137.33 Ba.upf
Ag 107.87 Ag.upf
Os 190.23 Os.upf
ATOMIC_POSITIONS crystal
Ba 0.0000 0.0000 0.0000
Ag 0.0000 0.0000 0.5000
Os 0.5000 0.5000 0.2730
Os 0.5000 0.5000 0.7270
CELL_PARAMETERS angstrom
1.5215 -2.4532 0.0000
1.5215 2.4532 0.0000
0.0000 0.0000 10.3732